[1]
Computed, not measured: a geometry-optimized Hg3H2Pb structure at the GGA-PBE level of DFT.

The space-group type is No. 15. The volume comes out at 26.13 Å³/atom. The final energy comes out at -1.658 eV/atom.

Cell: 8.0955 10.3957 5.7688 Å, 72.48 134.56 90.00°
Fractional positions:
1 Hg 0.1558 0.7500 0.0000
2 Hg 0.8442 0.2500 0.0000
3 Hg 0.9665 0.0682 0.6765
4 Hg 0.2900 0.4318 0.3235
5 Hg 0.7100 0.5682 0.6765
6 Hg 0.0335 0.9318 0.3235
7 H 0.2745 0.3751 0.6648
8 H 0.3903 0.8751 0.6648
9 H 0.6097 0.1249 0.3352
10 H 0.7255 0.6249 0.3352
11 Pb 0.2774 0.2500 0.0000
12 Pb 0.7226 0.7500 0.0000



[2]
Computed, not measured: a geometry-optimized Hg2HPb2 structure at the GGA-PBE level of DFT.

The space-group type is No. 127. The value obtained for the offset from the most stable computed form is 0.117 eV per atom. The volume comes out at 23.79 Å³/atom. The final energy comes out at -1.950 eV/atom.

Cell: 6.3693 6.3693 5.8641 Å, 90.00 90.00 90.00°
Fractional positions:
1 Pb 0.1899 0.6899 0.5000
2 Pb 0.6899 0.8101 0.5000
3 Pb 0.8101 0.3101 0.5000
4 Pb 0.3101 0.1899 0.5000
5 H 0.0000 0.0000 0.0000
6 H 0.5000 0.5000 0.0000
7 Hg 0.3279 0.8279 0.0000
8 Hg 0.8279 0.6721 0.0000
9 Hg 0.6721 0.1721 0.0000
10 Hg 0.1721 0.3279 0.0000



[3]
Computed, not measured: a geometry-optimized Hg3HPb structure at the GGA-PBE level of DFT.

The space-group type is No. 221. The value obtained for the offset from the most stable computed form is 0.161 eV per atom. The volume comes out at 22.26 Å³/atom. The final energy comes out at -1.255 eV/atom.

Cell: 4.8102 4.8102 4.8102 Å, 90.00 90.00 90.00°
Fractional positions:
1 Pb 0.5000 0.5000 0.5000
2 H 0.0000 0.0000 0.0000
3 Hg 0.0000 0.5000 0.0000
4 Hg 0.0000 0.0000 0.5000
5 Hg 0.5000 0.0000 0.0000



[4]
Computed, not measured: a geometry-optimized HgHPb structure at the GGA-PBE level of DFT.

The space-group type is No. 2. The value obtained for the offset from the most stable computed form is 0.178 eV per atom. The volume comes out at 21.21 Å³/atom. The final energy comes out at -2.187 eV/atom.

Cell: 3.8016 4.9064 7.0540 Å, 90.21 75.39 88.77°
Fractional positions:
1 Hg 0.0751 0.7467 0.8722
2 Hg 0.9249 0.2533 0.1278
3 H 0.2511 0.1911 0.4814
4 H 0.7489 0.8089 0.5186
5 Pb 0.3302 0.7677 0.3417
6 Pb 0.6698 0.2323 0.6583



[5]
Computed, not measured: a geometry-optimized HgHPb structure at the GGA-PBE level of DFT.

The space-group type is No. 6. The value obtained for the offset from the most stable computed form is 0.000 eV per atom. The volume comes out at 24.05 Å³/atom. The final energy comes out at -2.366 eV/atom.

Cell: 3.3841 3.3843 14.5556 Å, 89.98 89.98 59.96°
Fractional positions:
1 Pb 0.4719 0.9392 0.4363
2 Pb 0.4718 0.9394 0.9969
3 H 0.7936 0.2669 0.1906
4 H 0.7928 0.2658 0.2427
5 Hg 0.8037 0.2705 0.6189
6 Hg 0.8040 0.2708 0.8143



[6]
Computed, not measured: a geometry-optimized Hg4H4Pb structure at the GGA-PBE level of DFT.

The space-group type is No. 87. The volume comes out at 18.12 Å³/atom. The final energy comes out at -1.622 eV/atom.

Cell: 5.7979 6.0447 6.0446 Å, 76.70 61.34 61.34°
Fractional positions:
1 Hg 0.2691 0.1713 0.7905
2 Hg 0.7309 0.8287 0.2095
3 Hg 0.9404 0.2905 0.3287
4 Hg 0.0596 0.7095 0.6713
5 H 0.5228 0.1704 0.2841
6 H 0.4772 0.8296 0.7159
7 H 0.1931 0.7841 0.3296
8 H 0.8069 0.2159 0.6704
9 Pb 0.5000 0.5000 0.0000



[7]
Computed, not measured: a geometry-optimized Hg4H2Pb structure at the GGA-PBE level of DFT.

The space-group type is No. 65. The volume comes out at 22.17 Å³/atom. The final energy comes out at -1.433 eV/atom.

Cell: 3.2654 5.8337 8.6516 Å, 109.70 90.00 90.00°
Fractional positions:
1 Hg 0.5000 0.0836 0.1672
2 Hg 0.0000 0.3067 0.6133
3 Hg 0.5000 0.9164 0.8328
4 Hg 0.0000 0.6933 0.3867
5 H 0.5000 0.1903 0.3807
6 H 0.5000 0.8097 0.6193
7 Pb 0.0000 0.5000 0.0000



[8]
Computed, not measured: a geometry-optimized Hg3HPb structure at the GGA-PBE level of DFT.

The space-group type is No. 221. The value obtained for the offset from the most stable computed form is 0.391 eV per atom. The volume comes out at 44.69 Å³/atom. The final energy comes out at -1.025 eV/atom.

Cell: 6.0684 6.0684 6.0684 Å, 90.00 90.00 90.00°
Fractional positions:
1 Pb 0.0000 0.0000 0.0000
2 H 0.5000 0.5000 0.5000
3 Hg 0.0000 0.5000 0.0000
4 Hg 0.0000 0.0000 0.5000
5 Hg 0.5000 0.0000 0.0000



[9]
Computed, not measured: a geometry-optimized Hg5H4Pb structure at the GGA-PBE level of DFT.

The space-group type is No. 79. The volume comes out at 22.72 Å³/atom. The final energy comes out at -1.526 eV/atom.

Cell: 9.3347 6.7914 6.7914 Å, 61.82 46.59 46.59°
Fractional positions:
1 Hg 0.2888 0.5790 0.8487
2 Hg 0.1374 0.1513 0.5790
3 Hg 0.8678 0.8487 0.4210
4 Hg 0.7165 0.4210 0.1513
5 Hg 0.3032 0.0000 0.0000
6 H 0.8841 0.7284 0.7013
7 H 0.5854 0.2987 0.7284
8 H 0.6125 0.7013 0.2716
9 H 0.3138 0.2716 0.2987
10 Pb 0.7801 0.0000 0.0000



[10]
Computed, not measured: a geometry-optimized Hg3HPb structure at the GGA-PBE level of DFT.

The space-group type is No. 14. The value obtained for the offset from the most stable computed form is 0.000 eV per atom. The volume comes out at 24.47 Å³/atom. The final energy comes out at -1.416 eV/atom.

Cell: 10.7962 3.6472 13.1766 Å, 109.41 90.00 90.00°
Fractional positions:
1 Hg 0.7614 0.2422 0.2636
2 Hg 0.2386 0.7578 0.7364
3 Hg 0.2614 0.2578 0.2364
4 Hg 0.7386 0.7422 0.7636
5 Hg 0.5134 0.7873 0.3201
6 Hg 0.4866 0.2127 0.6799
7 Hg 0.0134 0.7127 0.1799
8 Hg 0.9866 0.2873 0.8201
9 Hg 0.0083 0.6090 0.3993
10 Hg 0.9917 0.3910 0.6007
11 Hg 0.5083 0.8910 0.1007
12 Hg 0.4917 0.1090 0.8993
13 H 0.7241 0.5076 0.0171
14 H 0.2759 0.4924 0.9829
15 H 0.2241 0.9924 0.4829
16 H 0.7759 0.0076 0.5171
17 Pb 0.6742 0.5016 0.5116
18 Pb 0.3258 0.4984 0.4884
19 Pb 0.1742 0.9984 0.9884
20 Pb 0.8258 0.0016 0.0116



[11]
Computed, not measured: a geometry-optimized Hg2HPb structure at the GGA-PBE level of DFT.

The space-group type is No. 225. The value obtained for the offset from the most stable computed form is 0.292 eV per atom. The volume comes out at 23.13 Å³/atom. The final energy comes out at -1.385 eV/atom.

Cell: 5.0764 5.0764 5.0764 Å, 60.00 60.00 60.00°
Fractional positions:
1 Pb 0.5000 0.5000 0.5000
2 H 0.0000 0.0000 0.0000
3 Hg 0.2500 0.2500 0.2500
4 Hg 0.7500 0.7500 0.7500



[12]
Computed, not measured: a geometry-optimized HgHPb structure at the GGA-PBE level of DFT.

The space-group type is No. 107. The value obtained for the offset from the most stable computed form is 0.159 eV per atom. The volume comes out at 26.50 Å³/atom. The final energy comes out at -2.207 eV/atom.

Cell: 4.3135 4.3135 5.2490 Å, 114.26 114.26 90.00°
Fractional positions:
1 Pb 0.7194 0.7194 0.4388
2 H 0.9439 0.9439 0.8879
3 Hg 0.1867 0.1867 0.3733